A plane-wave DFT calculation with PBE was carried out for a relaxed structure of Zn2GaOs.

abc: 4.329 4.329 4.329
angles: 60.00 60.00 60.00
Fractional positions:
Ga: 0.500 0.500 0.500
Zn: 0.000 0.000 0.000
Zn: 0.750 0.750 0.750
Os: 0.250 0.250 0.250

Calculated total energy = -16.0 eV per formula unit